1.
The following is a GGA-PBEsol calculation of a relaxed structure of Tl2InGa2, from Alexandria via LeMat-Bulk.

Calculated values
**Space group**: I4/mmm

Cell lengths 3.715, 3.715, 9.307 Å; angles 101.51, 101.51, 90.00 degrees
Sites, in units of the cell vectors:
Tl 0.391 0.391 0.783
Tl 0.609 0.609 0.217
Ga 0.250 0.750 0.500
Ga 0.750 0.250 0.500
In 0.000 0.000 0.000

=====

2.
The following is a GGA-PBEsol calculation of a relaxed structure of Tl2InGa2, from Alexandria via LeMat-Bulk.

Calculated values
**Space group**: P4/mbm

Cell lengths 4.617, 7.263, 7.263 Å; angles 90.00, 90.00, 90.00 degrees
Sites, in units of the cell vectors:
Tl 0.500 0.174 0.674
Tl 0.500 0.674 0.826
Tl 0.500 0.826 0.326
Tl 0.500 0.326 0.174
Ga 0.000 0.372 0.872
Ga 0.000 0.872 0.628
Ga 0.000 0.628 0.128
Ga 0.000 0.128 0.372
In 0.000 0.000 0.000
In 0.000 0.500 0.500

=====

no.,polymorph energy (0 for the lowest one) (kJ per mole of atoms)
1,2.0
2,0.0